Below is a geometry-optimized LiLaZn2Au5 structure, with properties calculated at the PBE level.

Calculated values
Spin magnetization = 0.00 μB per formula unit
ΔE_f = -358 meV per atom
DOS(E_F) = 4.76 states/eV/cell
Uncorrected energy = -3.222 eV/atom

Lattice parameters (Å, degrees): 4.8300 4.8300 8.1105 90.00 90.00 90.00
Element x y z (fractional)
Li: 0.0000 0.0000 0.0000
La: 0.0000 0.0000 0.5000
Zn: 0.5000 0.5000 0.1497
Zn: 0.5000 0.5000 0.8503
Au: 0.0000 0.5000 0.2527
Au: 0.5000 0.0000 0.2527
Au: 0.0000 0.5000 0.7473
Au: 0.5000 0.0000 0.7473
Au: 0.5000 0.5000 0.5000